First-principles (GGA-PBE) data for a geometry-optimized ZnNi3Bi structure, as listed in Alexandria via LeMat-Bulk.

Cell lengths 4.7664, 4.7664, 4.7664 Å; angles 90.00, 90.00, 90.00 degrees
Closest atoms and distances in Å follow each position.
Positions (direct):
Zn1 0.0000 0.0000 0.0000  12 Ni 3.37
Ni1 0.0000 0.5000 0.5000  2 Bi 2.38
Ni2 0.5000 0.0000 0.5000  2 Bi 2.38
Ni3 0.5000 0.5000 0.0000  2 Bi 2.38
Bi1 0.5000 0.5000 0.5000  6 Ni 2.38

Computed properties:
- Formation energy: 1.127 eV/atom
- Crystal system: cubic
- Density: 6.91 g/cm³
- M_tot: 0.00 μB per formula unit
- Offset from the most stable computed form: 2.79 eV per formula unit
- Electronic total energy: -3.3731 eV per atom

***

First-principles (GGA-PBE) data for a geometry-optimized ZnNiBi structure, as listed in Alexandria via LeMat-Bulk.

Cell lengths 12.2685, 3.1249, 3.1249 Å; angles 90.18, 90.00, 90.00 degrees
Closest atoms and distances in Å follow each position.
Positions (direct):
Zn1 0.1060 0.0000 0.0000  4 Ni 2.56-2.57, 1 Zn 2.60
Zn2 0.8940 0.0000 0.0000  4 Ni 2.56-2.57, 1 Zn 2.60
Ni1 0.0000 0.4984 0.4984  8 Zn 2.56-2.57
Ni2 0.5000 0.3664 0.3664  8 Bi 2.85-2.87, 4 Ni 3.12
Bi1 0.3511 0.8694 0.8694  4 Ni 2.85-2.87, 1 Zn 3.06, 4 Bi 3.12
Bi2 0.6489 0.8694 0.8694  4 Ni 2.85-2.87, 1 Zn 3.06, 4 Bi 3.12

Computed properties:
- Formation energy: 0.136 eV/atom
- Crystal system: orthorhombic
- Density: 9.23 g/cm³
- M_tot: 0.00 μB per formula unit
- Electronic total energy: -3.5096 eV per atom

***

First-principles (GGA-PBE) data for a geometry-optimized ZnNiBi3 structure, as listed in Alexandria via LeMat-Bulk.

Cell lengths 5.1874, 5.1874, 5.1874 Å; angles 90.00, 90.00, 90.00 degrees
Closest atoms and distances in Å follow each position.
Positions (direct):
Zn1 0.0000 0.0000 0.0000  12 Bi 3.67
Ni1 0.5000 0.5000 0.5000  6 Bi 2.59
Bi1 0.0000 0.5000 0.5000  2 Ni 2.59
Bi2 0.5000 0.0000 0.5000  2 Ni 2.59
Bi3 0.5000 0.5000 0.0000  2 Ni 2.59

Computed properties:
- Formation energy: 0.390 eV/atom
- Crystal system: cubic
- Density: 8.93 g/cm³
- M_tot: 0.00 μB per formula unit
- Offset from the most stable computed form: 0.00 eV per formula unit
- Electronic total energy: -3.3501 eV per atom

***

First-principles (GGA-PBE) data for a geometry-optimized ZnNi4Bi structure, as listed in Alexandria via LeMat-Bulk.

Cell lengths 4.9162, 4.9162, 4.9162 Å; angles 60.00, 60.00, 60.00 degrees
Closest atoms and distances in Å follow each position.
Positions (direct):
Zn1 0.0000 0.0000 0.0000  12 Ni 2.88, 4 Bi 3.01
Ni1 0.1222 0.6259 0.6259  6 Ni 2.44-2.48
Ni2 0.6259 0.1222 0.6259  6 Ni 2.44-2.48
Ni3 0.6259 0.6259 0.1222  6 Ni 2.44-2.48
Ni4 0.6259 0.6259 0.6259  6 Ni 2.44-2.48
Bi1 0.2500 0.2500 0.2500  12 Ni 2.88, 4 Zn 3.01

Computed properties:
- Formation energy: 0.088 eV/atom
- Crystal system: cubic
- Density: 10.06 g/cm³
- M_tot: 0.00 μB per formula unit
- Electronic total energy: -4.6252 eV per atom

***

First-principles (GGA-PBE) data for a geometry-optimized ZnNiBi structure, as listed in Alexandria via LeMat-Bulk.

Cell lengths 5.1031, 4.2033, 5.4458 Å; angles 90.00, 106.42, 90.00 degrees
Closest atoms and distances in Å follow each position.
Positions (direct):
Zn1 0.1349 0.2500 0.4902  4 Ni 2.51-2.67, 2 Zn 2.53
Zn2 0.8651 0.7500 0.5098  4 Ni 2.51-2.67, 2 Zn 2.53
Ni1 0.4092 0.7500 0.6166  4 Zn 2.51-2.67, 1 Bi 2.74, 2 Ni 2.75
Ni2 0.5908 0.2500 0.3834  4 Zn 2.51-2.67, 1 Bi 2.74, 2 Ni 2.75
Bi1 0.2890 0.7500 0.0927  4 Ni 2.74-2.83
Bi2 0.7110 0.2500 0.9073  4 Ni 2.74-2.83

Computed properties:
- Formation energy: -0.076 eV/atom
- Crystal system: monoclinic
- Density: 9.87 g/cm³
- M_tot: 0.00 μB per formula unit
- Electronic total energy: -3.7218 eV per atom

***

First-principles (GGA-PBE) data for a geometry-optimized ZnNi3Bi structure, as listed in Alexandria via LeMat-Bulk.

Cell lengths 4.4075, 4.4075, 4.4075 Å; angles 90.00, 90.00, 90.00 degrees
Closest atoms and distances in Å follow each position.
Positions (direct):
Zn1 0.0000 0.0000 0.0000  6 Ni 2.20
Ni1 0.0000 0.0000 0.5000  2 Zn 2.20
Ni2 0.0000 0.5000 0.0000  2 Zn 2.20
Ni3 0.5000 0.0000 0.0000  2 Zn 2.20
Bi1 0.5000 0.5000 0.5000  12 Ni 3.12

Computed properties:
- Formation energy: 0.568 eV/atom
- Crystal system: cubic
- Density: 8.74 g/cm³
- M_tot: 0.00 μB per formula unit
- Offset from the most stable computed form: 0.00 eV per formula unit
- Electronic total energy: -3.9313 eV per atom